The following is a PBE-GGA calculation of a relaxed CuSbTe2 crystal, from Alexandria.

extended XYZ file:
```
4
Lattice="6.628 0.169 0.000 3.821 5.419 0.000 -5.224 -2.794 2.977" Properties=species:S:1:pos:R:3 pbc="T T T"
Te 1.910 2.709 1.488
Te 0.000 0.000 0.000
Sb 3.314 0.084 1.488
Cu 5.224 2.794 0.000
```

Output
Space group   I-4m2, No. 119
DOS(E_F)   2.5 states/eV/cell
E   -12.82 eV/f.u.

The following is a PBE-GGA calculation of a relaxed CuSb2Te3 crystal, from Alexandria.

extended XYZ file:
```
12
Lattice="-5.794 -2.483 -1.803 -0.900 -3.190 7.287 -3.309 7.262 0.631" Properties=species:S:1:pos:R:3 pbc="T T T"
Sb -6.764 -2.657 1.735
Sb -6.048 3.043 3.505
Sb -5.352 0.021 5.430
Sb -7.460 0.364 -0.189
Te -6.432 2.553 6.335
Te -4.475 1.789 0.642
Te -5.933 -1.976 -0.956
Te -3.713 -1.517 2.747
Te -8.872 2.000 2.564
Te -8.111 -1.307 4.669
Cu -4.028 -0.744 0.289
Cu -3.933 3.209 6.461
```

Output
Space group   Cmc2_1, No. 36
DOS(E_F)   3.4 states/eV/cell
E   -21.54 eV/f.u.

The following is a PBE-GGA calculation of a relaxed Cu2SbTe2 crystal, from Alexandria.

extended XYZ file:
```
10
Lattice="-2.726 -6.647 2.410 5.179 -3.636 -4.169 2.342 0.072 2.846" Properties=species:S:1:pos:R:3 pbc="T T T"
Sb 1.227 -5.141 -0.879
Sb 0.000 0.000 0.000
Cu -1.071 -4.547 0.996
Cu 0.805 -8.106 -0.457
Cu 1.649 -2.176 -1.301
Cu 3.524 -5.735 -2.754
Te 0.607 -6.635 2.056
Te 1.187 -2.762 1.481
Te 4.188 -3.576 -0.968
Te 3.608 -7.448 -0.393
```

Output
Space group   P4/mbm, No. 127
DOS(E_F)   5.1 states/eV/cell
E   -17.53 eV/f.u.

Number 2 is which compound? CuSb2Te3